Below is La2YHg2 after structural relaxation, with properties calculated at the GGA-PBEsol level.

Unit cell a=8.6469 b=8.6469 c=3.9224 alpha=90.00 beta=90.00 gamma=90.00
Last column: nearest neighbours and their distance in Å.
Fractional coordinates of all 10 atoms:
La 0.1674 0.3326 0.0000  6 Hg 3.16-3.25
La 0.3326 0.8326 0.0000  6 Hg 3.16-3.25
La 0.6674 0.1674 0.0000  6 Hg 3.16-3.25
La 0.8326 0.6674 0.0000  6 Hg 3.16-3.25
Y 0.0000 0.0000 0.5000  4 Hg 3.39, 8 La 3.77
Y 0.5000 0.5000 0.5000  4 Hg 3.39, 8 La 3.77
Hg 0.1301 0.6301 0.5000  6 La 3.16-3.25, 1 Hg 3.18, 2 Y 3.39
Hg 0.3699 0.1301 0.5000  6 La 3.16-3.25, 1 Hg 3.18, 2 Y 3.39
Hg 0.6301 0.8699 0.5000  6 La 3.16-3.25, 1 Hg 3.18, 2 Y 3.39
Hg 0.8699 0.3699 0.5000  6 La 3.16-3.25, 1 Hg 3.18, 2 Y 3.39

Computed properties:
Electronic total energy (eV per cell): -41.492
SG: P4/mbm, No. 127
Formation energy from the elements (meV/atom): -420
Magnetic moment (μB per atom): 0.000

---

Below is InMo2Ru after structural relaxation, with properties calculated at the GGA-PBEsol level.

Unit cell a=4.9255 b=4.9255 c=4.8823 alpha=102.01 beta=102.01 gamma=33.55
Last column: nearest neighbours and their distance in Å.
Fractional coordinates of all 4 atoms:
In 0.0000 0.0000 0.0000  7 Mo 2.81-2.96, 2 In 2.84, 3 Ru 2.87-2.88
Mo 0.5148 0.5148 0.5101  2 Ru 2.61, 5 Mo 2.76-2.84, 4 In 2.81-2.84
Mo 0.7662 0.7662 0.2848  2 Ru 2.64, 5 Mo 2.76-2.84, 3 In 2.85-2.96
Ru 0.2428 0.2428 0.7292  4 Mo 2.61-2.64, 2 Ru 2.84, 3 In 2.87-2.88

Computed properties:
Electronic total energy (eV per cell): -35.557
SG: Cm, No. 8
Formation energy from the elements (meV/atom): 283
Magnetic moment (μB per atom): 0.000